No. 1
In3Te2Br: relaxed, PBE.

Computed properties:
V	47.9	Å³/atom
space group	No. 2
formation energy from raw total energies	-0.335	eV/atom

Lattice parameters (Å, degrees): 6.9372 9.6422 9.6505 107.32 106.69 97.11
Closest atoms and distances in Å follow each position.
Fractional positions:
In1 0.0335 0.3249 0.0077  3 Te 2.80-2.98, 1 In 2.83
In2 0.2782 0.8772 0.4617  2 Br 3.18-3.20, 2 Te 3.24-3.52, 1 In 3.39
In3 0.2865 0.1171 0.9790  1 Br 2.82, 1 In 2.83, 2 Te 2.87-2.89
In4 0.7135 0.8829 0.0210  1 Br 2.82, 1 In 2.83, 2 Te 2.87-2.89
In5 0.7218 0.1228 0.5383  2 Br 3.18-3.20, 2 Te 3.24-3.52, 1 In 3.39
In6 0.9665 0.6751 0.9923  3 Te 2.80-2.98, 1 In 2.83
Te1 0.0283 0.4421 0.7660  2 In 2.80-2.87
Te2 0.3653 0.9018 0.1273  3 In 2.87-2.98
Te3 0.6347 0.0982 0.8727  3 In 2.87-2.98
Te4 0.9717 0.5579 0.2340  2 In 2.80-2.87
Br1 0.0107 0.9317 0.6833  1 In 2.82
Br2 0.9893 0.0683 0.3167  1 In 2.82

***

No. 2
La2CdHg: relaxed, PBE.

Computed properties:
D(E_F)	5.43	states/eV/cell
V	30.2	Å³/atom
space group	No. 225
DFT formation energy	-0.41	eV/atom

Lattice parameters (Å, degrees): 5.5463 5.5463 5.5463 60.00 60.00 60.00
Closest atoms and distances in Å follow each position.
Fractional positions:
La1 0.2500 0.2500 0.2500  4 Cd 3.40, 4 Hg 3.40
La2 0.7500 0.7500 0.7500  4 Cd 3.40, 4 Hg 3.40
Cd1 0.0000 0.0000 0.0000  8 La 3.40
Hg1 0.5000 0.5000 0.5000  8 La 3.40